This record from Alexandria describes Pr5Y2Ho6 after structural relaxation. The functional is GGA-PBE.

Geometry as CIF:
```
data_Pr5Y2Ho6
_symmetry_space_group_name_H-M 'P b a m'
_symmetry_Int_Tables_number 55
_cell_length_a 11.7396
_cell_length_b 20.6302
_cell_length_c 3.6139
_cell_angle_alpha 90.00
_cell_angle_beta 90.00
_cell_angle_gamma 90.00
loop_
_symmetry_equiv_pos_as_xyz
'x,y,z'
'-x,-y,-z'
'-x,-y,z'
'x,y,-z'
'x+1/2,-y+1/2,-z'
'-x+1/2,y+1/2,z'
'-x+1/2,y+1/2,-z'
'x+1/2,-y+1/2,z'
loop_
_atom_site_label
_atom_site_type_symbol
_atom_site_fract_x
_atom_site_fract_y
_atom_site_fract_z
Pr1 Pr 0.0000 0.0000 0.0000
Pr2 Pr 0.0884 0.2745 0.0000
Pr3 Pr 0.1993 0.5506 0.0000
Y1 Y 0.1688 0.7123 0.5000
Ho1 Ho 0.0610 0.4196 0.5000
Ho2 Ho 0.0798 0.1329 0.5000
Ho3 Ho 0.1756 0.8643 0.0000
```

Results
Calculated formation energy = 93.1 meV per atom
Calculated density = 7.1 Mg/m³